A relaxed structure of Na2Cd3Rh, computed with PBE-GGA.

Properties
* formation enthalpy at 0 K: -0.055 eV per atom
* total DFT energy (no corrections): -2.177 eV/atom
* magnetic moment: 0.00 μB/cell

```
12
Lattice="-4.133 0.028 -2.254 -1.734 -7.033 -1.824 -3.761 -0.859 6.888" Properties=species:S:1:pos:R:3 pbc="T T T"
Na 0.000 0.000 0.000
Na -1.880 -0.429 3.444
Na -3.838 -2.728 2.088
Na -5.790 -5.136 0.722
Cd -7.015 -3.167 2.994
Cd -2.888 -0.173 0.376
Cd -2.613 -4.697 -0.184
Cd -4.775 -2.655 -1.111
Cd -4.853 -5.208 3.920
Cd -5.006 -0.657 4.257
Rh -1.962 -2.193 -1.345
Rh -3.905 -4.812 -2.733
```

=====

A relaxed structure of Y3NO, computed with PBE-GGA.

Properties
* total DFT energy (no corrections): -7.111 eV/atom
* magnetic moment: 0.00 μB/cell
* ΔE to the lowest computed polymorph: 0 meV/atom
* E_form (uncorrected): -0.576 eV per atom

```
5
Lattice="4.700 0.000 0.000 0.000 4.700 0.000 0.000 0.000 4.700" Properties=species:S:1:pos:R:3 pbc="T T T"
Y 0.000 2.350 0.000
Y 0.000 0.000 2.350
Y 2.350 0.000 0.000
O 2.350 2.350 2.350
N 0.000 0.000 0.000
```

=====

A relaxed structure of Sm6Al2Ag, computed with PBE-GGA.

Properties
* formation enthalpy at 0 K: 0.003 eV per atom
* total DFT energy (no corrections): -4.292 eV/atom
* magnetic moment: 0.00 μB/cell

```
9
Lattice="-3.396 -0.578 3.710 -4.496 -3.501 -4.660 7.158 -4.649 2.401" Properties=species:S:1:pos:R:3 pbc="T T T"
Sm -0.049 -3.098 -0.518
Sm 1.574 -3.870 4.310
Sm -0.685 -5.629 1.969
Sm -2.830 -1.170 0.682
Sm -2.308 -4.857 -2.859
Sm -5.062 -2.909 -1.632
Al -2.875 -4.270 0.167
Al 2.141 -4.458 1.284
Ag 0.000 0.000 0.000
```

=====

A relaxed structure of KBeI3, computed with PBE-GGA.

Properties
* total DFT energy (no corrections): -1.395 eV/atom
* magnetic moment: 2.00 μB/cell
* ΔE to the lowest computed polymorph: 1406 meV/atom
* E_form (uncorrected): 0.500 eV per atom

```
5
Lattice="-0.818 -5.004 4.276 4.034 -3.786 -3.659 5.201 2.150 3.510" Properties=species:S:1:pos:R:3 pbc="T T T"
I 2.017 -1.893 -1.829
I 2.600 1.075 1.755
I -0.409 -2.502 2.138
Be 4.209 -3.320 2.064
K 0.000 0.000 0.000
```

=====

A relaxed structure of Th2AuS2N2, computed with PBE-GGA.

Properties
* total DFT energy (no corrections): -7.444 eV/atom
* magnetic moment: 0.00 μB/cell
* E_form (uncorrected): -1.298 eV per atom

```
7
Lattice="-2.308 -2.538 -2.232 3.663 -1.223 1.356 -4.666 -3.814 9.162" Properties=species:S:1:pos:R:3 pbc="T T T"
Th -2.020 -3.491 2.306
Th -1.291 -4.084 5.980
Au 0.000 0.000 0.000
S -3.698 -3.023 7.263
S -0.967 -0.791 1.900
N -3.017 -4.306 4.264
N -0.294 -3.269 4.022
```

=====

A relaxed structure of SrPm4Ge4, computed with PBE-GGA.

Properties
* formation enthalpy at 0 K: -0.593 eV per atom
* total DFT energy (no corrections): -4.944 eV/atom
* magnetic moment: 0.00 μB/cell

```
18
Lattice="5.959 0.000 0.000 0.000 9.770 0.000 0.000 0.000 9.770" Properties=species:S:1:pos:R:3 pbc="T T T"
Sr 0.000 0.000 0.000
Sr 2.980 4.885 4.885
Pm 2.277 3.516 8.624
Pm 5.256 6.032 8.401
Pm 2.277 6.254 1.147
Pm 0.703 1.369 6.032
Pm 3.682 8.624 6.254
Pm 0.703 8.401 3.738
Pm 5.256 3.738 1.369
Pm 3.682 1.147 3.516
Ge 3.614 7.900 3.256
Ge 3.614 1.870 6.514
Ge 0.635 8.142 6.755
Ge 5.324 3.015 8.142
Ge 5.324 6.755 1.629
Ge 2.345 3.256 1.870
Ge 2.345 6.514 7.900
Ge 0.635 1.629 3.015
```

=====

A relaxed structure of Tb6Y4Ho19, computed with PBE-GGA.

Properties
* formation enthalpy at 0 K: 0.392 eV per atom
* total DFT energy (no corrections): -4.457 eV/atom
* magnetic moment: 0.00 μB/cell

```
29
Lattice="2.443 8.003 -6.744 4.256 -9.174 -3.636 -10.680 -1.011 0.640" Properties=species:S:1:pos:R:3 pbc="T T T"
Tb -6.282 -2.487 -3.773
Tb 2.301 0.304 -5.967
Tb -2.359 -5.242 -2.820
Tb -1.622 3.059 -6.921
Tb 0.955 -4.382 -6.307
Tb -4.937 2.199 -3.434
Y -6.857 -0.649 0.411
Y 2.732 -5.890 -2.334
Y -1.425 -0.781 -3.487
Y 1.568 5.138 -4.330
Ho -6.091 5.170 -4.515
Ho 2.110 -7.353 -5.226
Ho 1.745 -0.305 -2.704
Ho -5.726 -1.878 -7.037
Ho -4.751 -7.532 -2.216
Ho -1.674 -2.653 -0.781
Ho 0.000 0.000 0.000
Ho -4.354 -0.931 -1.764
Ho 3.231 3.280 -6.643
Ho -0.477 -1.104 -6.661
Ho -0.183 -7.574 -2.815
Ho -6.363 -5.611 -4.413
Ho -0.133 2.281 -4.209
Ho -4.613 4.100 -7.305
Ho -3.034 -3.172 -5.152
Ho 2.644 -3.057 -8.667
Ho -7.669 1.761 -1.847
Ho 0.707 -3.422 -3.275
Ho -3.644 0.353 -5.692
```

=====

A relaxed structure of Pm6Sm3Dy2Er, computed with PBE-GGA.

Properties
* formation enthalpy at 0 K: 0.014 eV per atom
* total DFT energy (no corrections): -4.689 eV/atom
* magnetic moment: 0.00 μB/cell

```
12
Lattice="-4.546 3.433 2.617 1.171 -5.784 2.115 8.862 5.164 6.119" Properties=species:S:1:pos:R:3 pbc="T T T"
Pm 3.187 3.659 8.242
Pm -0.338 -0.485 5.061
Pm 2.301 -0.845 2.609
Pm 5.091 0.588 8.075
Pm 5.826 3.299 5.790
Pm 0.396 2.225 2.776
Sm 4.649 -1.665 5.258
Sm 0.838 4.479 5.592
Sm 2.744 1.407 5.425
Dy -0.734 -2.711 2.282
Dy -2.640 0.361 2.449
Er 0.000 0.000 0.000
```

=====

A relaxed structure of DyMgGa5Pd2, computed with PBE-GGA.

Properties
* formation enthalpy at 0 K: -0.256 eV per atom
* total DFT energy (no corrections): -3.780 eV/atom
* magnetic moment: 0.00 μB/cell

```
9
Lattice="4.857 0.000 0.000 0.000 4.857 0.000 0.000 0.000 7.621" Properties=species:S:1:pos:R:3 pbc="T T T"
Dy 0.000 0.000 3.810
Mg 0.000 0.000 0.000
Ga 0.000 2.429 1.880
Ga 2.429 0.000 1.880
Ga 0.000 2.429 5.741
Ga 2.429 0.000 5.741
Ga 2.429 2.429 3.810
Pd 2.429 2.429 1.311
Pd 2.429 2.429 6.309
```

=====

A relaxed structure of Y2SiHg, computed with PBE-GGA.

Properties
* total DFT energy (no corrections): -4.496 eV/atom
* magnetic moment: 0.00 μB/cell
* E_form (uncorrected): 0.167 eV per atom

```
4
Lattice="5.160 0.000 0.000 2.580 4.468 0.000 2.580 1.489 4.213" Properties=species:S:1:pos:R:3 pbc="T T T"
Hg 5.160 2.979 2.106
Si 7.739 4.468 3.160
Y 0.000 0.000 0.000
Y 2.580 1.489 1.053
```

=====

A relaxed structure of CdFe2Re, computed with PBE-GGA.

Properties
* formation enthalpy at 0 K: 0.338 eV per atom
* total DFT energy (no corrections): -7.234 eV/atom
* magnetic moment: 4.99 μB/cell

```
4
Lattice="-1.896 1.535 -1.082 -1.029 -2.388 0.601 -2.170 2.946 7.983" Properties=species:S:1:pos:R:3 pbc="T T T"
Cd -3.113 1.815 5.833
Fe -0.058 0.078 0.212
Fe -1.986 0.284 1.684
Re -1.023 1.389 3.766
```

=====

A relaxed structure of DyTmCu10, computed with PBE-GGA.

Properties
* formation enthalpy at 0 K: -0.194 eV per atom
* total DFT energy (no corrections): -4.364 eV/atom
* magnetic moment: 0.00 μB/cell

```
12
Lattice="4.098 0.000 0.000 0.000 5.034 0.000 0.000 0.000 8.633" Properties=species:S:1:pos:R:3 pbc="T T T"
Dy 0.000 0.000 0.000
Tm 0.000 2.517 4.317
Cu 0.000 0.000 2.889
Cu 0.000 2.517 7.182
Cu 0.000 2.517 1.451
Cu 0.000 0.000 5.745
Cu 2.049 0.000 4.317
Cu 2.049 2.517 0.000
Cu 2.049 1.262 2.167
Cu 2.049 3.772 6.466
Cu 2.049 3.772 2.167
Cu 2.049 1.262 6.466
```

=====

Q: Look up the magnetic moment of the seventh one.
A: 0.00 μB/cell